The following is a DFT calculation (GGA-PBE) of KLa2ZrAg after structural relaxation.

Properties
For the formation energy, the calculation gives 0.601 eV per atom. The value obtained for the density of states at the Fermi level is 1.7157 states/eV per atom. For the total magnetic moment, the calculation gives 2.5 μB/cell.

Geometry as POSCAR:
```
KLa2ZrAg
1.0
5.967 0.000 0.000
0.000 5.967 0.000
0.000 0.000 5.504
K La Zr Ag
1 2 1 1
Direct
0.000 0.000 0.000 K
0.000 0.500 0.500 La
0.500 0.000 0.500 La
0.500 0.500 0.000 Zr
0.500 0.500 0.500 Ag
```